# Li2PaCo2O7

A relaxed Li2PaCo2O7 crystal (GGA+U, Alexandria via LeMat-Bulk).

Unit cell a=8.693 b=8.693 c=8.693 alpha=35.90 beta=35.90 gamma=35.90
Fractional positions:
Li1 0.076 0.076 0.076
Li2 0.924 0.924 0.924
Pa1 0.500 0.500 0.500
Co1 0.235 0.235 0.235
Co2 0.765 0.765 0.765
O1 0.000 0.000 0.000
O2 0.115 0.460 0.753
O3 0.247 0.540 0.885
O4 0.460 0.753 0.115
O5 0.540 0.885 0.247
O6 0.753 0.115 0.460
O7 0.885 0.247 0.540

Computed properties:
* calculated total energy: -6.4578 eV/atom